# 1
This record from Alexandria describes TaTl2Se after structural relaxation. The functional is PBE.

Values from the calculation:
SG: Pmmm, No. 47
Offset from the most stable computed form, meV/atom: 570
ΔE_f (raw), eV per atom: 0.51

a b c (Å): 3.306 5.041 5.465
angles (deg): 90.00 90.00 90.00
Atoms (fractional coordinates):
Ta 0.000 0.500 0.500
Tl 0.500 0.500 0.000
Se 0.500 0.000 0.500
Tl 0.000 0.000 0.000

---

# 2
This record from Alexandria describes Li15Ac6Hg8 after structural relaxation. The functional is PBE.

Values from the calculation:
DFT formation energy, eV per atom: -0.250
SG: Fm-3m, No. 225

a b c (Å): 10.002 10.002 10.002
angles (deg): 60.00 60.00 60.00
Atoms (fractional coordinates):
Li 0.677 0.968 0.677
Li 0.677 0.677 0.968
Li 0.323 0.323 0.323
Ac 0.713 0.287 0.713
Li 0.677 0.677 0.677
Li 0.500 0.500 0.000
Li 0.000 0.500 0.000
Hg 0.390 0.870 0.870
Li 0.968 0.677 0.677
Hg 0.870 0.870 0.870
Ac 0.287 0.713 0.713
Hg 0.130 0.130 0.130
Ac 0.287 0.287 0.713
Ac 0.713 0.287 0.287
Hg 0.870 0.390 0.870
Li 0.500 0.000 0.000
Ac 0.713 0.713 0.287
Li 0.000 0.500 0.500
Li 0.500 0.000 0.500
Li 0.323 0.032 0.323
Li 0.000 0.000 0.000
Hg 0.610 0.130 0.130
Hg 0.870 0.870 0.390
Li 0.323 0.323 0.032
Li 0.000 0.000 0.500
Hg 0.130 0.610 0.130
Hg 0.130 0.130 0.610
Li 0.032 0.323 0.323
Ac 0.287 0.713 0.287

---

# 3
This record from Alexandria describes Na3SnHg3 after structural relaxation. The functional is PBE.

Values from the calculation:
DFT formation energy, eV per atom: 0.250
SG: Pm-3n, No. 223
Offset from the most stable computed form, meV/atom: 440

a b c (Å): 8.037 8.037 8.037
angles (deg): 90.00 90.00 90.00
Atoms (fractional coordinates):
Na 0.000 0.250 0.500
Sn 0.000 0.000 0.000
Hg 0.500 0.250 0.000
Na 0.750 0.500 0.000
Hg 0.750 0.000 0.500
Na 0.500 0.000 0.750
Na 0.250 0.500 0.000
Hg 0.500 0.750 0.000
Sn 0.500 0.500 0.500
Hg 0.000 0.500 0.250
Na 0.000 0.750 0.500
Hg 0.000 0.500 0.750
Na 0.500 0.000 0.250
Hg 0.250 0.000 0.500

---

# 4
This record from Alexandria describes LaHoSi after structural relaxation. The functional is PBE.

Values from the calculation:
SG: F-43m, No. 216
Offset from the most stable computed form, meV/atom: 63
ΔE_f (raw), eV per atom: -0.45

a b c (Å): 4.976 4.976 4.976
angles (deg): 60.00 60.00 60.00
Atoms (fractional coordinates):
Si 0.250 0.250 0.250
La 0.500 0.500 0.500
Ho 0.000 0.000 0.000

---

# 5
This record from Alexandria describes LiSi2Ag8O8 after structural relaxation. The functional is PBE.

Values from the calculation:
SG: P-1, No. 2
Offset from the most stable computed form, meV/atom: 0
ΔE_f (raw), eV per atom: -1.03

a b c (Å): 4.509 7.482 8.828
angles (deg): 75.12 75.40 91.90
Atoms (fractional coordinates):
O 0.835 0.193 0.365
O 0.385 0.369 0.167
Ag 0.187 0.615 0.068
O 0.302 0.991 0.296
Ag 0.608 0.476 0.335
O 0.716 0.995 0.697
Li 0.510 0.993 0.497
Ag 0.383 0.102 0.860
Ag 0.411 0.511 0.658
O 0.184 0.794 0.628
Si 0.139 0.179 0.225
Ag 0.831 0.372 0.925
Si 0.879 0.808 0.769
O 0.044 0.157 0.058
Ag 0.636 0.884 0.134
Ag 0.952 0.301 0.578
Ag 0.066 0.686 0.416
O 0.974 0.830 0.935
O 0.633 0.618 0.826

---

# 6
This record from Alexandria describes TaV2BAu after structural relaxation. The functional is PBE.

Values from the calculation:
DFT formation energy, eV per atom: -0.070
SG: P4/mmm, No. 123

a b c (Å): 4.084 4.342 4.084
angles (deg): 90.00 90.00 90.00
Last column: magnetic moment on the atom in μB.
Atoms (fractional coordinates):
V 0.000 0.000 0.500  0.36
Au 0.500 0.500 0.500  0.02
Ta 0.000 0.500 0.000  0.01
B 0.000 0.000 0.000  -0.02
V 0.500 0.000 0.000  0.54

---

# 7
This record from Alexandria describes YHoMn2 after structural relaxation. The functional is PBE.

Values from the calculation:
DFT formation energy, eV per atom: 0.202
SG: P4/mmm, No. 123
Offset from the most stable computed form, meV/atom: 4

a b c (Å): 3.606 4.942 4.942
angles (deg): 90.00 90.00 90.00
Last column: magnetic moment on the atom in μB.
Atoms (fractional coordinates):
Ho 0.500 0.500 0.500  -0.26
Mn 0.000 0.000 0.500  3.46
Mn 0.000 0.500 0.000  3.46
Y 0.500 0.000 0.000  -0.22

---

# 8
This record from Alexandria describes BaIn2Br after structural relaxation. The functional is PBE.

Values from the calculation:
SG: P4/mmm, No. 123
Offset from the most stable computed form, meV/atom: 44
ΔE_f (raw), eV per atom: -0.69

a b c (Å): 6.980 4.524 4.524
angles (deg): 90.00 90.00 90.00
Atoms (fractional coordinates):
Br 0.500 0.000 0.500
Ba 0.500 0.500 0.000
In 0.000 0.000 0.000
In 0.000 0.500 0.500